Entry 1:
Computed, not measured: a relaxed structure of Li5Cu3Sb2O10 at the PBEsol level of DFT.

Unit cell a=5.200 b=5.503 c=7.764 alpha=102.58 beta=104.37 gamma=104.94
Space group P-1 (No. 2)
Inequivalent atoms, fractional coordinates:
Li 0.000 0.000 0.000 x1
Li 0.085 0.197 0.692 x2
Li 0.280 0.612 0.124 x2
Cu 0.213 0.385 0.402 x2
Cu 0.500 0.000 0.500 x1
Sb 0.387 0.805 0.799 x2
O 0.042 0.621 0.842 x2
O 0.152 0.841 0.568 x2
O 0.286 0.975 0.253 x2
O 0.363 0.162 0.947 x2
O 0.433 0.471 0.674 x2



Entry 2:
Computed, not measured: a relaxed structure of Li3Cu2SbO6 at the PBEsol level of DFT.

Unit cell a=5.506 b=8.593 c=9.774 alpha=90.00 beta=93.18 gamma=90.00
Space group C2/c (No. 15)
Inequivalent atoms, fractional coordinates:
Li 0.000 0.096 0.250 x4
Li 0.235 0.083 0.999 x8
Cu 0.000 0.417 0.250 x4
Cu 0.250 0.250 0.500 x4
Sb 0.000 0.244 0.750 x4
O 0.111 0.095 0.612 x8
O 0.119 0.416 0.631 x8
O 0.173 0.259 0.148 x8



E_form (uncorrected) for the records above, in order: -1.46, -1.42 eV/atom
Total DFT energy (no corrections) for the records above, in order: -5.679, -5.642 eV/atom